No. 1
# Er3Mg8Sc

Er3Mg8Sc after structural relaxation (GGA-PBE, Alexandria via LeMat-Bulk).

Unit cell a=5.9923 b=5.9923 c=9.6458 alpha=90.00 beta=90.00 gamma=120.00
Fractional coordinates of all 12 atoms:
Er (0.0000, 0.0000, 0.0000)
Er (0.0000, 0.0000, 0.3729)
Er (0.3333, 0.6667, 0.8653)
Mg (0.0095, 0.5048, 0.1860)
Mg (0.3250, 0.1625, 0.6822)
Mg (0.4952, 0.5048, 0.1860)
Mg (0.4952, 0.9905, 0.1860)
Mg (0.6667, 0.3333, 0.4344)
Mg (0.6667, 0.3333, 0.9343)
Mg (0.8375, 0.1625, 0.6822)
Mg (0.8375, 0.6750, 0.6822)
Sc (0.3333, 0.6667, 0.4962)

## Properties
calculated volume: 25.0 Å³ per atom
calculated total energy: -2.771 eV/atom
density: 4.1 g cm⁻³
formation energy: -0.039 eV per atom
space-group type: P3m1 (156)

No. 2
# ErMg2Sc

ErMg2Sc after structural relaxation (GGA-PBE, Alexandria via LeMat-Bulk).

Unit cell a=11.0258 b=11.0258 c=11.0258 alpha=17.26 beta=17.26 gamma=17.26
Fractional coordinates of all 4 atoms:
Er (0.0000, 0.0000, 0.0000)
Mg (0.5818, 0.5818, 0.5818)
Mg (0.7545, 0.7545, 0.7545)
Sc (0.1691, 0.1691, 0.1691)

## Properties
calculated volume: 25.7 Å³ per atom
calculated total energy: -3.460 eV/atom
density: 4.2 g cm⁻³
formation energy: 0.061 eV per atom
space-group type: R3m (160)